Entry 1:
First-principles (GGA-PBE) data for an optimized crystal structure of Ca5NdPb6, as listed in Alexandria.

Cell: 9.340 9.340 5.113 Å, 105.79 105.79 58.65°
Atoms (fractional coordinates):
Ca 0.000 0.000 0.000
Ca 0.167 0.167 0.666
Ca 0.329 0.329 0.329
Ca 0.671 0.671 0.671
Ca 0.833 0.833 0.334
Nd 0.500 0.500 0.000
Pb 0.085 0.584 0.835
Pb 0.251 0.749 0.500
Pb 0.416 0.915 0.165
Pb 0.584 0.085 0.835
Pb 0.749 0.251 0.500
Pb 0.915 0.416 0.165

Computed properties:
VASP energy ... -3.6048 eV/atom
Magnetization ... 0.000 μB/atom


Entry 2:
First-principles (GGA-PBE) data for an optimized crystal structure of BaAs2W, as listed in Alexandria.

Cell: 7.835 7.835 7.835 Å, 28.32 28.32 28.32°
Atoms (fractional coordinates):
Ba 0.000 0.000 0.000
As 0.567 0.567 0.567
As 0.776 0.776 0.776
W 0.173 0.173 0.173

Computed properties:
Polymorph energy (0 for the lowest one) ... 1.1 meV per atom
Magnetization ... 0.000 μB/atom


Entry 3:
First-principles (GGA-PBE) data for an optimized crystal structure of Th2Ni15Pd2, as listed in Alexandria.

Cell: 6.371 6.371 6.371 Å, 83.25 83.25 83.25°
Atoms (fractional coordinates):
Th 0.158 0.158 0.158
Th 0.842 0.842 0.842
Ni 0.000 0.500 0.500
Ni 0.152 0.152 0.660
Ni 0.152 0.660 0.152
Ni 0.202 0.500 0.798
Ni 0.202 0.798 0.500
Ni 0.340 0.848 0.848
Ni 0.500 0.000 0.500
Ni 0.500 0.202 0.798
Ni 0.500 0.500 0.000
Ni 0.500 0.798 0.202
Ni 0.660 0.152 0.152
Ni 0.798 0.202 0.500
Ni 0.798 0.500 0.202
Ni 0.848 0.340 0.848
Ni 0.848 0.848 0.340
Pd 0.394 0.394 0.394
Pd 0.606 0.606 0.606

Computed properties:
VASP energy ... -6.1601 eV/atom
Magnetization ... 0.267 μB/atom


Entry 4:
First-principles (GGA-PBE) data for an optimized crystal structure of Ce3Ga4Ag2, as listed in Alexandria.

Cell: 5.882 5.882 8.747 Å, 113.24 113.24 46.81°
Atoms (fractional coordinates):
Ce 0.000 0.000 0.000
Ce 0.327 0.327 0.338
Ce 0.673 0.673 0.662
Ga 0.032 0.032 0.371
Ga 0.263 0.263 0.930
Ga 0.737 0.737 0.070
Ga 0.968 0.968 0.629
Ag 0.399 0.399 0.730
Ag 0.601 0.601 0.270

Computed properties:
VASP energy ... -4.4032 eV/atom
Magnetization ... 0.378 μB/atom


Entry 5:
First-principles (GGA-PBE) data for an optimized crystal structure of LaPt4Br, as listed in Alexandria.

Cell: 5.498 5.498 5.498 Å, 60.00 60.00 60.00°
Atoms (fractional coordinates):
La 0.000 0.000 0.000
Pt 0.125 0.625 0.625
Pt 0.625 0.125 0.625
Pt 0.625 0.625 0.125
Pt 0.625 0.625 0.625
Br 0.250 0.250 0.250

Computed properties:
E_form (uncorrected) ... -0.64 eV/atom
Magnetization ... 0.000 μB/atom


Entry 6:
First-principles (GGA-PBE) data for an optimized crystal structure of LaCuTeH2, as listed in Alexandria.

Cell: 4.098 4.098 6.688 Å, 90.00 90.00 90.00°
Atoms (fractional coordinates):
La 0.000 0.000 0.000
Cu 0.500 0.500 0.000
Te 0.000 0.000 0.500
H 0.000 0.500 0.500
H 0.500 0.000 0.500

Computed properties:
VASP energy ... -3.4795 eV/atom
Magnetization ... 0.000 μB/atom